The following is a PBE with a Hubbard U calculation of a geometry-optimized Cs2GeWO6 structure, from Alexandria via LeMat-Bulk.

The space group is I4/mmm (No. 139) and the conventional cell measures 5.394, 5.394 and 12.030 Å, with angles of 90.00, 90.00 and 90.00 degrees. The distinct sites, in fractional coordinates, are Cs at (0.000, 0.500, 0.250), Ge at (0.000, 0.000, 0.000), W at (0.000, 0.000, 0.500), O at (0.000, 0.000, 0.344) and O at (0.237, 0.237, 0.000).

The value obtained for the total energy is -5.946 eV/atom.